Entry 1:
DFT (meta-GGA SCAN) results for FeCu2Ni at its PBEsol-relaxed geometry.

Unit cell a=2.480 b=2.480 c=7.128 alpha=90.00 beta=90.00 gamma=90.00
Site moments in Bohr magnetons follow the coordinates.
Element x y z (fractional)
Ni 0.500 0.500 0.747  0.65
Cu 0.500 0.500 0.250  0.07
Cu 0.000 0.000 0.996  0.00
Fe 0.000 0.000 0.507  2.89

Results
Total magnetization in Bohr magnetons per cell: 3.429
Formation energy in eV/f.u.: 0.00
Space group: P4mm, No. 99


Entry 2:
DFT (meta-GGA SCAN) results for FeCu2Ni at its PBEsol-relaxed geometry.

Unit cell a=2.486 b=3.537 c=5.010 alpha=90.00 beta=90.00 gamma=90.00
Site moments in Bohr magnetons follow the coordinates.
Element x y z (fractional)
Cu 0.500 0.500 0.247  0.09
Cu 0.000 0.000 0.001  0.04
Fe 0.000 0.000 0.510  3.00
Ni 0.500 0.500 0.742  0.68

Results
Total magnetization in Bohr magnetons per cell: 3.610
Formation energy in eV/f.u.: 0.04
Space group: Pmm2, No. 25


Entry 3:
DFT (meta-GGA SCAN) results for FeCuNi2 at its PBEsol-relaxed geometry.

Unit cell a=3.468 b=3.468 c=4.345 alpha=113.52 beta=113.52 gamma=90.00
Site moments in Bohr magnetons follow the coordinates.
Element x y z (fractional)
Ni 0.000 0.000 0.000  0.63
Ni 0.750 0.250 0.500  0.59
Fe 0.250 0.750 0.500  3.15
Cu 0.500 0.500 0.000  0.10

Results
Total magnetization in Bohr magnetons per cell: 4.217
Formation energy in eV/f.u.: -0.15
Space group: I-4m2, No. 119


Entry 4:
DFT (meta-GGA SCAN) results for FeCuNi2 at its PBEsol-relaxed geometry.

Unit cell a=3.947 b=3.947 c=3.947 alpha=60.00 beta=60.00 gamma=60.00
Site moments in Bohr magnetons follow the coordinates.
Element x y z (fractional)
Cu 0.500 0.500 0.500  0.13
Fe 0.250 0.250 0.250  3.11
Ni 0.750 0.750 0.750  0.41
Ni 0.000 0.000 0.000  0.78

Results
Total magnetization in Bohr magnetons per cell: 4.162
Formation energy in eV/f.u.: 0.25
Space group: F-43m, No. 216


Entry 5:
DFT (meta-GGA SCAN) results for FeCuNi2 at its PBEsol-relaxed geometry.

Unit cell a=2.473 b=2.473 c=8.232 alpha=81.36 beta=81.36 gamma=60.00
Site moments in Bohr magnetons follow the coordinates.
Element x y z (fractional)
Ni 0.251 0.251 0.246  0.72
Ni 0.749 0.749 0.754  0.72
Fe 0.000 0.000 0.000  2.84
Cu 0.500 0.500 0.500  0.01

Results
Total magnetization in Bohr magnetons per cell: 4.095
Formation energy in eV/f.u.: -0.08
Space group: R-3m, No. 166


Entry 6:
DFT (meta-GGA SCAN) results for FeCuNi2 at its PBEsol-relaxed geometry.

Unit cell a=2.457 b=2.457 c=7.114 alpha=90.00 beta=90.00 gamma=90.00
Site moments in Bohr magnetons follow the coordinates.
Element x y z (fractional)
Ni 0.000 0.000 0.003  0.79
Ni 0.500 0.500 0.246  0.59
Fe 0.500 0.500 0.756  2.90
Cu 0.000 0.000 0.496  0.06

Results
Total magnetization in Bohr magnetons per cell: 4.090
Formation energy in eV/f.u.: 0.01
Space group: P4mm, No. 99


Entry 7:
DFT (meta-GGA SCAN) results for Fe2CuNi at its PBEsol-relaxed geometry.

Unit cell a=3.486 b=3.486 c=3.623 alpha=90.00 beta=90.00 gamma=90.00
Site moments in Bohr magnetons follow the coordinates.
Element x y z (fractional)
Fe 0.000 0.500 0.000  2.89
Fe 0.500 0.000 0.000  2.89
Ni 0.500 0.500 0.500  0.82
Cu 0.000 0.000 0.500  0.17

Results
Total magnetization in Bohr magnetons per cell: 6.482
Formation energy in eV/f.u.: -0.18
Offset from the most stable computed form in eV per atom: 0.004
Space group: P4/mmm, No. 123


Entry 8:
DFT (meta-GGA SCAN) results for FeCuNi at its PBEsol-relaxed geometry.

Unit cell a=2.481 b=3.539 c=4.303 alpha=114.28 beta=106.76 gamma=90.00
Site moments in Bohr magnetons follow the coordinates.
Element x y z (fractional)
Ni 0.668 0.668 0.336  0.66
Cu 0.001 0.001 0.002  0.08
Fe 0.331 0.331 0.663  2.99

Results
Total magnetization in Bohr magnetons per cell: 3.530
Formation energy in eV/f.u.: -0.13
Offset from the most stable computed form in eV per atom: 0.000
Space group: Imm2, No. 44


Entry 9:
DFT (meta-GGA SCAN) results for Fe2CuNiS at its PBEsol-relaxed geometry.

Unit cell a=4.027 b=4.065 c=4.065 alpha=90.00 beta=90.00 gamma=90.00
Site moments in Bohr magnetons follow the coordinates.
Element x y z (fractional)
Ni 0.500 0.000 0.000  0.30
Cu 0.500 0.500 0.500  0.02
S 0.000 0.000 0.000  0.02
Fe 0.000 0.500 0.000  2.58
Fe 0.000 0.000 0.500  2.58

Results
Total magnetization in Bohr magnetons per cell: 5.122
DFT total energy in eV per atom: -15.1376
Space group: P4/mmm, No. 123


Entry 10:
DFT (meta-GGA SCAN) results for Fe2CuO4 at its PBEsol-relaxed geometry.

Unit cell a=5.676 b=5.682 c=5.682 alpha=60.00 beta=60.03 gamma=60.03
Site moments in Bohr magnetons follow the coordinates.
Element x y z (fractional)
Fe 0.000 0.500 0.500  1.24
Fe 0.000 0.500 0.000  1.24
Fe 0.500 0.500 0.000  1.24
Fe 0.000 0.000 0.000  1.24
O 0.209 0.264 0.764  0.07
O 0.763 0.264 0.764  0.07
O 0.237 0.736 0.236  0.07
O 0.236 0.291 0.237  0.07
O 0.791 0.736 0.236  0.07
O 0.236 0.737 0.791  0.07
O 0.764 0.263 0.209  0.07
O 0.764 0.709 0.763  0.07
Cu 0.625 0.125 0.625  0.23
Cu 0.375 0.875 0.375  0.23

Results
Total magnetization in Bohr magnetons per cell: 6.002
DFT total energy in eV per atom: -12.2532
Space group: Fd-3m, No. 227


Entry 11:
DFT (meta-GGA SCAN) results for FeCuO3 at its PBEsol-relaxed geometry.

Unit cell a=3.662 b=3.662 c=3.662 alpha=90.00 beta=90.00 gamma=90.00
Site moments in Bohr magnetons follow the coordinates.
Element x y z (fractional)
O 0.500 0.000 0.000  0.26
O 0.000 0.500 0.000  0.26
O 0.000 0.000 0.500  0.26
Cu 0.000 0.000 0.000  0.15
Fe 0.500 0.500 0.500  3.92

Results
Total magnetization in Bohr magnetons per cell: 4.972
DFT total energy in eV per atom: -10.7242
Space group: Pm-3m, No. 221


Entry 12:
DFT (meta-GGA SCAN) results for Fe2CuP2O10 at its PBEsol-relaxed geometry.

Unit cell a=7.379 b=6.893 c=7.317 alpha=90.00 beta=90.00 gamma=118.54
Site moments in Bohr magnetons follow the coordinates.
Element x y z (fractional)
O 0.441 0.361 0.744  0.14
O 0.219 0.414 0.504  0.11
O 0.760 0.266 0.676  0.14
O 0.219 0.914 0.996  0.11
O 0.059 0.151 0.763  0.11
O 0.941 0.849 0.237  0.11
O 0.240 0.234 0.176  0.14
O 0.441 0.861 0.756  0.14
O 0.247 0.563 0.989  0.13
O 0.753 0.937 0.489  0.13
O 0.559 0.639 0.256  0.14
O 0.941 0.349 0.263  0.11
O 0.753 0.437 0.011  0.13
O 0.760 0.766 0.824  0.14
O 0.559 0.139 0.244  0.14
O 0.781 0.586 0.496  0.11
O 0.781 0.086 0.004  0.11
O 0.059 0.651 0.737  0.11
O 0.240 0.734 0.324  0.14
O 0.247 0.063 0.511  0.13
P 0.245 0.245 0.630  0.02
P 0.245 0.745 0.870  0.02
P 0.755 0.255 0.130  0.02
P 0.755 0.755 0.370  0.02
Fe 0.270 0.493 0.232  3.38
Fe 0.730 0.007 0.732  3.38
Fe 0.270 0.993 0.268  3.38
Fe 0.730 0.507 0.768  3.38
Cu 0.000 0.500 0.500  0.72
Cu 0.000 0.000 0.000  0.72

Results
Total magnetization in Bohr magnetons per cell: 18.088
DFT total energy in eV per atom: -10.7582
Space group: P2_1/c, No. 14


Values for calculated density, kg/m3, ordered as above
9153 9108 9116 9045 9156 9156 8823 9050 6638 6129 5659 4035